VASP calculation (PBE) on SrBe2AgH6 after structural relaxation.

For the uncorrected energy, the calculation gives -3.241 eV/atom. For the size of the total moment, the calculation gives 0.000 μB per cell. The density of states at the Fermi level is 0.1469 states/eV per atom.

The space group is R-3m (No. 166, hexagonal axes) and the conventional cell measures 4.6116, 4.6116 and 17.0325 Å, with angles of 90.00, 90.00 and 120.00 degrees. Symmetry generates all atoms from Sr at (0.0000, 0.0000, 0.0000), Be at (0.0000, 0.0000, 0.2341), Ag at (0.0000, 0.0000, 0.5000) and H at (0.0006, 0.5003, 0.9271).